No. 1
Compound: LiDyAu
Source: OQMD
Functional: PBE-GGA
Structure: optimized geometry

Cell: 6.3518 6.3518 6.3518 Å, 90.00 90.00 90.00°
Closest atoms and distances in Å follow each position.
Space group F-43m (No. 216)
Inequivalent atoms, fractional coordinates:
Li1 0.0000 0.0000 0.0000 (multiplicity 4)  4 Au 2.75, 4 Dy 2.75
Dy1 0.2500 0.2500 0.2500 (multiplicity 4)  4 Li 2.75
Au1 0.2500 0.2500 0.7500 (multiplicity 4)  4 Li 2.75

Summary:
The value obtained for the energy above the lowest structure with this stoichiometry is 392.3 meV per atom.

No. 2
Compound: SmErIr
Source: OQMD
Functional: PBE-GGA
Structure: optimized geometry

Cell: 7.2064 4.6633 8.8415 Å, 90.00 90.00 90.00°
Closest atoms and distances in Å follow each position.
Space group Pnma (No. 62)
Inequivalent atoms, fractional coordinates:
Sm1 0.1424 0.2500 0.0858 (multiplicity 4)  4 Ir 2.93-2.94
Er1 0.0054 0.2500 0.6585 (multiplicity 4)  3 Ir 2.75-2.97
Ir1 0.2355 0.2500 0.4100 (multiplicity 4)  3 Er 2.75-2.97, 4 Sm 2.93-2.94

Summary:
The energy relative to the elements is -2.01 eV/f.u. The value obtained for the energy above the lowest structure with this stoichiometry is 44.9 meV per atom.

No. 3
Compound: BMo2Pd
Source: OQMD
Functional: PBE-GGA
Structure: optimized geometry

Cell: 6.0414 6.0414 6.0414 Å, 90.00 90.00 90.00°
Closest atoms and distances in Å follow each position.
Space group F-43m (No. 216)
Inequivalent atoms, fractional coordinates:
B1 0.0000 0.0000 0.0000 (multiplicity 4)  4 Mo 2.62, 4 Pd 2.62
Mo1 0.0000 0.0000 0.5000 (multiplicity 4)  4 Mo 2.62, 4 Pd 2.62
Mo2 0.2500 0.2500 0.7500 (multiplicity 4)  4 Mo 2.62, 4 B 2.62
Pd1 0.2500 0.2500 0.2500 (multiplicity 4)  4 Mo 2.62, 4 B 2.62

Summary:
The calculation puts the total energy at -123.8 eV/cell.

No. 4
Compound: SrHgTeO
Source: OQMD
Functional: PBE-GGA
Structure: optimized geometry

Cell: 6.5744 4.3278 15.3790 Å, 90.00 90.00 90.00°
Closest atoms and distances in Å follow each position.
Space group Pnma (No. 62)
Inequivalent atoms, fractional coordinates:
Sr1 0.2267 0.2500 0.1157 (multiplicity 4)  2 O 2.41
Hg1 0.1946 0.2500 0.8173 (multiplicity 4)  1 O 2.21
Te1 0.2255 0.2500 0.4305 (multiplicity 4)  2 Hg 2.83
O1 0.1871 0.7500 0.1829 (multiplicity 4)  1 Hg 2.21, 2 Sr 2.41

Summary:
The value obtained for the energy above the lowest structure with this stoichiometry is 65.1 meV per atom.

No. 5
Compound: GdYAl3Ge2
Source: OQMD
Functional: PBE-GGA
Structure: optimized geometry

Cell: 10.3357 4.0896 6.7779 Å, 90.00 100.25 90.00°
Closest atoms and distances in Å follow each position.
Space group Cm (No. 8)
Inequivalent atoms, fractional coordinates:
Gd1 0.0000 0.0000 0.0000 (multiplicity 2)  5 Ge 2.90-3.08, 5 Al 3.06-3.24
Y1 0.2338 0.0000 0.6328 (multiplicity 2)  5 Ge 2.90-3.08, 5 Al 3.05-3.23
Al1 0.1169 0.5000 0.3173 (multiplicity 2)  2 Ge 2.79-2.80, 2 Y 3.05, 2 Gd 3.06, 6 Al 3.09-3.11
Al2 0.3141 0.0000 0.1931 (multiplicity 2)  2 Ge 2.68, 2 Al 2.75
Al3 0.4197 0.5000 0.4413 (multiplicity 2)  2 Ge 2.67, 2 Al 2.75
Ge1 0.0177 0.5000 0.6739 (multiplicity 2)  1 Ge 2.55, 3 Al 2.67-2.79
Ge2 0.2161 0.5000 0.9588 (multiplicity 2)  1 Ge 2.55, 3 Al 2.68-2.80

Summary:
The calculation puts the total energy at -70.9 eV/cell.

No. 6
Compound: ThHgTe
Source: OQMD
Functional: PBE-GGA
Structure: optimized geometry

Cell: 7.3107 7.3107 7.3107 Å, 90.00 90.00 90.00°
Closest atoms and distances in Å follow each position.
Space group F-43m (No. 216)
Inequivalent atoms, fractional coordinates:
Th1 0.0000 0.0000 0.0000 (multiplicity 4)  4 Te 3.17
Hg1 0.0000 0.0000 0.5000 (multiplicity 4)  4 Te 3.17
Te1 0.2500 0.2500 0.7500 (multiplicity 4)  4 Hg 3.17, 4 Th 3.17

Summary:
The value obtained for the energy above the lowest structure with this stoichiometry is 110.2 meV per atom.

No. 7
Compound: CsAg3PtS4
Source: OQMD
Functional: PBE-GGA
Structure: optimized geometry

Cell: 6.4057 6.4057 6.4057 Å, 90.00 90.00 90.00°
Closest atoms and distances in Å follow each position.
Space group P-43m (No. 215)
Inequivalent atoms, fractional coordinates:
Cs1 0.0000 0.0000 0.0000 (multiplicity 1)  4 S 3.21
Ag1 0.0000 0.5000 0.5000 (multiplicity 3)  4 S 2.66
Pt1 0.5000 0.5000 0.5000 (multiplicity 1)  4 S 2.33
S1 0.2897 0.2897 0.2897 (multiplicity 4)  1 Pt 2.33

Summary:
The calculation puts the total energy at -32.6 eV/cell.

No. 8
Compound: Tb2GdSn6Pb
Source: OQMD
Functional: PBE-GGA
Structure: optimized geometry

Cell: 4.5353 25.6141 4.5939 Å, 90.00 90.00 90.00°
Closest atoms and distances in Å follow each position.
Space group Cmmm (No. 65)
Inequivalent atoms, fractional coordinates:
Tb1 0.0000 0.1880 0.0000 (multiplicity 4)  10 Sn 3.24-3.49
Gd1 0.0000 0.0000 0.0000 (multiplicity 2)  4 Pb 3.23, 8 Sn 3.38-3.41
Sn1 0.0000 0.0986 0.5000 (multiplicity 4)  4 Sn 3.23, 2 Tb 3.24, 2 Pb 3.39, 2 Gd 3.41
Sn2 0.0000 0.2906 0.5000 (multiplicity 4)  2 Sn 3.08, 4 Tb 3.27
Sn3 0.0000 0.4023 0.0000 (multiplicity 4)  4 Sn 3.23, 2 Tb 3.24, 2 Gd 3.38, 2 Pb 3.40
Pb1 0.0000 0.5000 0.5000 (multiplicity 2)  4 Gd 3.23, 8 Sn 3.39-3.40

Summary:
The calculation puts the total energy at -93.6 eV/cell.

| no. | ρ (Mg/m³) |
| --- | --- |
| 1 | 9.5 |
| 2 | 11.4 |
| 3 | 9.3 |
| 4 | 6.6 |
| 5 | 5.6 |
| 6 | 9.5 |
| 7 | 4.9 |
| 8 | 8.7 |